(1)
Y2Cd2Pt: relaxed, GGA-PBE.

Summary:
* size of the total moment: 0.00 Bohr magnetons per cell
* E above lowest polymorph: 0.21 eV/f.u.
* formation energy from the elements: -334 meV per atom
* crystal system: tetragonal

Geometry as POSCAR:
```
Y2Cd2Pt
1.0
-1.624 3.441 0.172
-2.805 -1.430 2.143
2.437 2.835 8.466
Y Pt Cd
2 1 2
Cartesian
-1.381 1.333 2.467
-0.610 3.512 8.314
0.000 0.000 0.000
-0.700 3.641 4.898
-1.291 1.205 5.883
```

---

(2)
PaBeNiN: relaxed, GGA-PBE.

Summary:
* size of the total moment: 0.00 Bohr magnetons per cell
* crystal system: tetragonal
* formation energy without anion corrections: -918 meV per atom

Geometry as POSCAR:
```
PaBeNiN
1.0
-0.433 2.404 -2.631
-3.443 -0.966 -0.316
-1.979 5.348 5.212
Pa Be Ni N
2 2 2 2
Cartesian
-3.358 3.940 4.152
-0.559 2.127 -0.414
-2.394 1.334 1.613
-1.523 4.733 2.126
-0.989 2.674 2.606
-2.927 3.393 1.133
-1.946 5.878 3.241
-1.970 0.190 0.497
```

---

Energy, respectively: -4.494; -7.751 eV per atom.